# 1
VASP calculation (PBE) on Ba3ScB3O9 after structural relaxation.

Values from the calculation:
Total DFT energy (no corrections), eV per atom: -7.69
Formation energy from raw total energies, eV per atom: -2.888

Cell and atoms, written as CIF:
```
data_Ba3ScB3O9
_chemical_formula_sum 'Ba18 Sc6 B18 O54'
_space_group_name_H-M_alt 'P 63 c m'
_space_group_IT_number 185
_space_group_name_Hall 'P 6c -2'
_cell_length_a 9.3623
_cell_length_b 9.3623
_cell_length_c 17.6459
_cell_angle_alpha 90.00
_cell_angle_beta 90.00
_cell_angle_gamma 120.00
loop_
_atom_site_label
_atom_site_type_symbol
_atom_site_fract_x
_atom_site_fract_y
_atom_site_fract_z
_atom_site_occupancy
Ba1 Ba 0.0000 0.0000 0.0900 1
Ba2 Ba 0.0000 0.3182 0.2473 1
Ba3 Ba 0.0000 0.3476 0.0000 1
Ba4 Ba 0.3333 0.6667 0.1516 1
Sc1 Sc 0.0000 0.0000 0.3771 1
Sc2 Sc 0.3333 0.6667 0.3703 1
B1 B 0.0000 0.3275 0.4412 1
B2 B 0.0000 0.3326 0.6224 1
B3 B 0.0000 0.3391 0.8006 1
O1 O 0.0000 0.1798 0.4510 1
O2 O 0.0000 0.1905 0.8095 1
O3 O 0.0000 0.4813 0.6223 1
O4 O 0.1486 0.3327 0.6228 1
O5 O 0.1488 0.4761 0.4371 1
O6 O 0.1491 0.4873 0.7951 1
```



# 2
VASP calculation (PBE) on AcCdSnO after structural relaxation.

Values from the calculation:
Total DFT energy (no corrections), eV per atom: -5.08
Formation energy from raw total energies, eV per atom: -1.588

Cell and atoms, written as CIF:
```
data_AcCdSnO
_chemical_formula_sum 'Ac2 Cd2 Sn2 O2'
_space_group_name_H-M_alt 'P 4/n m m'
_space_group_IT_number 129
_cell_length_a 4.335
_cell_length_b 4.335
_cell_length_c 10.850
_cell_angle_alpha 90.00
_cell_angle_beta 90.00
_cell_angle_gamma 90.00
loop_
_space_group_symop_operation_xyz
'x,y,z'
'-x,-y,-z'
'-y+1/2,x,z'
'y+1/2,-x,-z'
'-x+1/2,-y+1/2,z'
'x+1/2,y+1/2,-z'
'y,-x+1/2,z'
'-y,x+1/2,-z'
'x+1/2,-y,-z'
'-x+1/2,y,z'
'-y,-x,-z'
'y,x,z'
'-x,y+1/2,-z'
'x,-y+1/2,z'
'y+1/2,x+1/2,-z'
'-y+1/2,-x+1/2,z'
loop_
_atom_site_label
_atom_site_type_symbol
_atom_site_fract_x
_atom_site_fract_y
_atom_site_fract_z
_atom_site_occupancy
Ac1 Ac 0.250 0.250 0.114 1
Cd1 Cd 0.250 0.750 0.500 1
Sn1 Sn 0.250 0.250 0.688 1
O1 O 0.250 0.750 0.000 1
```